1.
A plane-wave DFT calculation with PBE-GGA was carried out for Pa2ReH after structural relaxation.

Cell and atoms, written as POSCAR:
```
Pa2ReH
1.0
2.013 1.162 7.204
-2.013 1.162 7.204
0.000 -2.324 7.204
Pa Re H
2 1 1
Direct
0.099 0.099 0.099
0.901 0.901 0.901
0.500 0.500 0.500
0.000 0.000 0.000
```

Output
D(E_F) = 5.8 states/eV per cell
space-group type = No. 166
DFT total energy = -8.331 eV per atom

2.
A plane-wave DFT calculation with PBE-GGA was carried out for BaLi2Os after structural relaxation.

Cell and atoms, written as POSCAR:
```
BaLi2Os
1.0
3.105 -4.183 0.000
3.105 4.183 0.000
0.000 0.000 2.949
Ba Li Os
1 2 1
Direct
0.000 0.000 0.000
0.000 0.500 0.500
0.500 0.000 0.500
0.500 0.500 0.000
```

Output
ΔH_f (0 K) = 0.774 eV/atom
D(E_F) = 3.0 states/eV per cell
space-group type = No. 65

3.
A plane-wave DFT calculation with PBE-GGA was carried out for SnBiO2F after structural relaxation.

Cell and atoms, written as POSCAR:
```
SnBiO2F
1.0
4.207 0.000 0.000
0.000 4.207 0.000
0.000 0.000 4.426
Sn Bi O F
1 1 2 1
Direct
0.000 0.000 0.000
0.500 0.500 0.500
0.000 0.500 0.000
0.500 0.000 0.000
0.000 0.000 0.500
```

Output
D(E_F) = 1.5 states/eV per cell
space-group type = No. 123
formation energy from raw total energies = -1.050 eV/atom

4.
A plane-wave DFT calculation with PBE-GGA was carried out for PrEr2Ge after structural relaxation.

Cell and atoms, written as POSCAR:
```
PrEr2Ge
1.0
1.878 1.084 9.762
-1.878 1.084 9.762
0.000 -2.169 9.762
Pr Er Ge
1 2 1
Direct
0.000 0.000 0.000
0.563 0.563 0.563
0.768 0.768 0.768
0.165 0.165 0.165
```

Output
ΔH_f (0 K) = -0.248 eV/atom
D(E_F) = 5.8 states/eV per cell
space-group type = No. 160